Record 1
BaIr4Os: optimized geometry, PBE.

```
BaIr4Os
1.0
0.0000 3.7970 3.7970
3.7970 0.0000 3.7970
3.7970 3.7970 0.0000
Ba Os Ir
1 1 4
Direct
0.0000 0.0000 0.0000
0.7500 0.7500 0.7500
0.8724 0.3759 0.3759
0.3759 0.3759 0.3759
0.3759 0.3759 0.8724
0.3759 0.8724 0.3759
```

Output
The density of states at the Fermi level is 10.21 states/eV/f.u. As for the symmetry: F-43m (216).

***

Record 2
Np2ReTc: optimized geometry, PBE.

```
Np2ReTc
1.0
2.9275 0.0000 0.0000
1.4638 2.5353 0.0000
1.4638 0.8451 9.7079
Tc Np Re
1 2 1
Direct
0.5000 0.5000 0.5000
0.0878 0.0878 0.7365
0.9122 0.9122 0.2635
0.0000 0.0000 0.0000
```

Output
The density of states at the Fermi level is 7.47 states/eV/f.u. As for the symmetry: R-3m (166).

***

Record 3
Y2CuSbH: optimized geometry, PBE.

```
Y2CuSbH
1.0
4.9193 0.0000 0.0000
0.0000 4.9193 0.0000
0.0000 0.0000 3.9747
Cu Y Sb H
1 2 1 1
Direct
0.0000 0.0000 0.5000
0.5000 0.0000 0.0000
0.0000 0.5000 0.0000
0.5000 0.5000 0.5000
0.0000 0.0000 0.0000
```

Output
The density of states at the Fermi level is 2.32 states/eV/f.u. As for the symmetry: P4/mmm (123).

***

Record 4
TbPm15Er4: optimized geometry, PBE.

```
TbPm15Er4
1.0
-1.6717 0.7900 4.7740
4.0999 -2.4516 1.8413
12.7998 22.0331 0.8358
Pm Er Tb
15 4 1
Direct
0.5000 0.5000 0.7995
0.5000 0.5000 0.6000
0.5000 0.0000 0.3002
0.5000 0.0000 0.1005
0.0000 0.5000 0.5000
0.5000 0.5000 0.0000
0.0000 0.5000 0.8995
0.5000 0.0000 0.5000
0.0000 0.5000 0.1005
0.5000 0.5000 0.2005
0.5000 0.0000 0.6998
0.0000 0.5000 0.6998
0.5000 0.0000 0.8995
0.5000 0.5000 0.4000
0.0000 0.5000 0.3002
0.0000 0.0000 0.7996
0.0000 0.0000 0.4000
0.0000 0.0000 0.6000
0.0000 0.0000 0.2004
0.0000 0.0000 0.0000
```

Output
The density of states at the Fermi level is 26.59 states/eV/f.u. As for the symmetry: P4/mmm (123).

***

| no. | total energy (eV/atom) |
| --- | --- |
| 1 | -7.313 |
| 2 | -11.546 |
| 3 | -5.401 |
| 4 | -4.694 |